{
  "formula": "Dy3Ho2ScTe6",
  "functional": "PBE",
  "state": "optimized geometry",
  "cell": [[9.410, -2.152, 0.000], [9.410, 2.152, 0.000], [-1.987, 0.000, 8.439]],
  "species": ["Dy", "Dy", "Dy", "Ho", "Ho", "Sc", "Te", "Te", "Te", "Te", "Te", "Te"],
  "frac_coords": [[0.000, 0.000, 0.000], [0.329, 0.329, 0.664], [0.671, 0.671, 0.336], [0.333, 0.333, 0.167], [0.667, 0.667, 0.833], [0.000, 0.000, 0.500], [0.161, 0.161, 0.581], [0.167, 0.167, 0.082], [0.498, 0.498, 0.740], [0.502, 0.502, 0.260], [0.833, 0.833, 0.918], [0.839, 0.839, 0.419]],
  "n_ef_per_ev_fu": 6.8,
  "volume_a3_per_atom": 28.48,
  "magnetic_moment_mub_per_fu": 0.00,
  "final_energy_ry_per_atom": -0.386,
  "spacegroup": "C2/m, No. 12",
  "crystal_system": "monoclinic"
}

=====

{
  "formula": "DyHo5ThSc2",
  "functional": "PBE",
  "state": "optimized geometry",
  "cell": [[2.793, -10.577, 0.000], [2.793, 10.577, 0.000], [0.000, 0.000, 9.374]],
  "species": ["Dy", "Dy", "Ho", "Ho", "Ho", "Ho", "Ho", "Ho", "Ho", "Ho", "Ho", "Ho", "Th", "Th", "Sc", "Sc", "Sc", "Sc"],
  "frac_coords": [[0.097, 0.903, 0.500], [0.903, 0.097, 0.000], [0.031, 0.969, 0.825], [0.110, 0.890, 0.122], [0.195, 0.805, 0.795], [0.235, 0.765, 0.414], [0.491, 0.509, 0.094], [0.509, 0.491, 0.594], [0.765, 0.235, 0.914], [0.805, 0.195, 0.295], [0.890, 0.110, 0.622], [0.969, 0.031, 0.325], [0.315, 0.685, 0.102], [0.685, 0.315, 0.602], [0.365, 0.635, 0.786], [0.387, 0.613, 0.401], [0.613, 0.387, 0.901], [0.635, 0.365, 0.286]],
  "n_ef_per_ev_fu": 11.3,
  "volume_a3_per_atom": 30.77,
  "magnetic_moment_mub_per_fu": 0.00,
  "spacegroup": "Cmc2_1, No. 36",
  "crystal_system": "orthorhombic",
  "e_form_ev_per_fu": 1.57
}